No. 1
16
Lattice="4.373 0.000 0.000 0.000 6.198 0.000 0.000 0.000 8.750" Properties=species:S:1:pos:R:3 comment="TiV3Mo4 | the Alexandria database | PBE | optimized geometry" sg="P4/mmm (123)" pbc="T T T"
V 2.187 0.000 2.188
V 2.186 3.099 2.188
Mo 4.373 1.524 2.188
Mo 2.187 1.524 4.375
Mo 2.187 1.524 0.000
V 0.000 0.000 4.375
V 0.000 0.000 0.000
Mo 2.187 4.674 4.375
Mo 0.000 4.674 6.563
Mo 2.187 4.674 0.000
Ti 0.000 3.099 0.000
Ti 0.000 3.099 4.375
Mo 0.000 1.524 6.563
V 2.186 0.000 6.563
V 2.187 3.099 6.563
Mo 4.373 4.674 2.188

---

No. 2
7
Lattice="-2.826 -0.136 -3.458 1.517 -4.061 -1.081 -5.285 -4.865 1.624" Properties=species:S:1:pos:R:3 comment="Ti2V4Mo | the Alexandria database | PBE | optimized geometry" sg="I4/mmm (139)" de_polymorph_kj_per_mol_fu=582 pbc="T T T"
V -3.588 -3.851 0.197
V -3.005 -5.210 -3.113
Ti -1.742 -2.748 -1.355
V -1.413 -0.068 -1.729
V 0.759 -2.031 -0.540
Ti -4.852 -6.313 -1.560
Mo 0.000 0.000 0.000

---

No. 3
4
Lattice="-2.800 2.671 -2.046 -1.347 -0.935 -4.059 -4.129 -1.275 -0.696" Properties=species:S:1:pos:R:3 comment="TiV2Mo | the Alexandria database | PBE | optimized geometry" sg="Fm-3m (225)" de_polymorph_kj_per_mol_fu=11 pbc="T T T"
Mo 0.000 0.000 0.000
V -2.069 0.115 -1.700
V -6.208 0.346 -5.100
Ti -4.138 0.231 -3.400

---

Number 1: DFT formation energy -0.107 eV per atom. Number 2: DFT formation energy 1.067 eV per atom. Number 3: DFT formation energy -0.024 eV per atom.